A relaxed structure of Tb12Pr6Nd. Source: Alexandria, functional PBE-GGA.

The space group is R-3m (No. 166, hexagonal axes) and the conventional cell measures 11.2111, 11.2111 and 17.7036 Å, with angles of 90.00, 90.00 and 120.00 degrees. The inequivalent atoms are Tb at (0.1028, 0.5514, 0.4140), Tb at (0.1060, 0.2120, 0.4090), Pr at (0.0695, 0.5347, 0.7658) and Nd at (0.0000, 0.0000, 0.0000).

The value obtained for the final energy is -86.8 eV/f.u. The value obtained for the relative energy among the computed polymorphs is 0 meV per atom. As for the density: 7.49 g cm⁻³. The calculation puts the energy of formation from the pure elements at 0.116 eV/atom. The calculation puts the total magnetization at 0.0000 μB/atom. Its crystal system is trigonal.